No. 1
Compound: ReIrRu4
Source: Alexandria
Functional: PBE
Structure: optimized geometry

extended XYZ file:
```
6
Lattice="-4.391 -1.890 1.497 -3.448 2.998 2.053 -4.188 1.094 -2.521" Properties=species:S:1:pos:R:3 pbc="T T T"
Ru -6.233 2.320 1.409
Ru -6.702 -0.114 1.132
Ru -6.601 1.372 -0.869
Ru -4.516 0.827 0.387
Ir -9.020 1.652 0.772
Re 0.000 0.000 0.000
```

Properties
Its space group is No. 216. Its energy above the most stable polymorph in this dataset is 652.7 meV/atom. The value obtained for the formation energy is 0.57 eV/atom. The value obtained for the density is 14.63 Mg/m³. The total energy is -9.16 eV per atom.

---

No. 2
Compound: ReIr3Ru
Source: Alexandria
Functional: PBE
Structure: optimized geometry

extended XYZ file:
```
10
Lattice="4.397 0.000 0.000 -2.199 4.632 1.404 0.000 0.871 7.763" Properties=species:S:1:pos:R:3 pbc="T T T"
Ir 2.199 4.564 4.044
Ir 0.000 2.928 3.134
Ir 2.199 0.882 1.015
Ir 2.199 2.575 6.033
Ir 0.000 0.939 5.123
Ir 0.000 4.621 8.152
Re 2.199 1.654 3.588
Re 0.000 3.849 5.578
Ru 2.199 3.295 1.558
Ru 0.000 2.208 7.609
```

Properties
Its space group is No. 12. Its energy above the most stable polymorph in this dataset is 219.3 meV/atom. The value obtained for the formation energy is 0.31 eV/atom. The value obtained for the density is 18.78 Mg/m³. The total energy is -9.35 eV per atom.

---

No. 3
Compound: ReIrRu2
Source: Alexandria
Functional: PBE
Structure: optimized geometry

extended XYZ file:
```
4
Lattice="-2.066 -0.030 -4.235 -0.925 -2.472 -3.904 -4.219 -1.809 1.198" Properties=species:S:1:pos:R:3 pbc="T T T"
Ir -5.407 -3.233 -5.206
Re -1.802 -1.078 -1.735
Ru -3.008 -2.508 -8.123
Ru -3.588 -2.150 -3.486
```

Properties
Its space group is No. 12. The value obtained for the formation energy is -0.02 eV/atom. The value obtained for the density is 16.83 Mg/m³. The total energy is -9.98 eV per atom.

---

No. 4
Compound: ReIr2Ru
Source: Alexandria
Functional: PBE
Structure: optimized geometry

extended XYZ file:
```
4
Lattice="-2.422 2.329 1.883 -1.580 -3.051 1.742 2.566 0.325 2.898" Properties=species:S:1:pos:R:3 pbc="T T T"
Ir -2.001 -0.361 1.812
Ir 0.000 0.000 0.000
Ru 0.493 -1.363 2.320
Re 0.072 1.327 2.390
```

Properties
Its space group is No. 123. The value obtained for the formation energy is -0.10 eV/atom. The value obtained for the density is 19.36 Mg/m³. The total energy is -9.96 eV per atom.